Here is a geometry-optimized Ho2Ni3Ge4Rh structure from Alexandria. Energies are from PBE.

Results
Energy of formation, meV/atom: -730

Unit cell a=4.068 b=4.068 c=9.894 alpha=90.00 beta=90.00 gamma=90.00
Sites, in units of the cell vectors:
Ho (0.000, 0.500, 0.244)
Ho (0.500, 0.000, 0.756)
Ni (0.000, 0.500, 0.874)
Ni (0.500, 0.000, 0.126)
Ni (0.500, 0.500, 0.500)
Ge (0.000, 0.000, 0.000)
Ge (0.000, 0.500, 0.640)
Ge (0.500, 0.000, 0.360)
Ge (0.500, 0.500, 0.000)
Rh (0.000, 0.000, 0.500)